(1)
DFT (PBEsol) results for crystalline Sr2NiAs at its relaxed geometry. Values from VASP.

The structure in Quantum ESPRESSO input format:
```
&SYSTEM
  ibrav = 0, nat = 4, ntyp = 3
/
ATOMIC_SPECIES
As 74.92 As.upf
Ni 58.69 Ni.upf
Sr 87.62 Sr.upf
CELL_PARAMETERS angstrom
4.356 0.000 0.000
0.000 4.358 0.000
0.000 0.000 6.162
ATOMIC_POSITIONS crystal
As 0.000 0.000 0.375
Ni 0.500 0.500 0.875
Sr 0.000 0.000 0.875
Sr 0.500 0.500 0.375
```

---

(2)
DFT (PBEsol) results for crystalline Sr2NiAs at its relaxed geometry. Values from VASP.

The structure in Quantum ESPRESSO input format:
```
&SYSTEM
  ibrav = 0, nat = 4, ntyp = 3
/
ATOMIC_SPECIES
As 74.92 As.upf
Ni 58.69 Ni.upf
Sr 87.62 Sr.upf
CELL_PARAMETERS angstrom
-0.638 3.983 3.005
-4.529 0.972 1.960
-0.806 -0.666 4.920
ATOMIC_POSITIONS crystal
As 0.500 0.500 0.500
Ni 0.250 0.250 0.250
Sr 0.000 0.000 0.000
Sr 0.750 0.750 0.750
```

---

(3)
DFT (PBEsol) results for crystalline Sr2NiAs at its relaxed geometry. Values from VASP.

The structure in Quantum ESPRESSO input format:
```
&SYSTEM
  ibrav = 0, nat = 4, ntyp = 3
/
ATOMIC_SPECIES
As 74.92 As.upf
Ni 58.69 Ni.upf
Sr 87.62 Sr.upf
CELL_PARAMETERS angstrom
4.133 0.000 0.000
0.000 4.254 0.000
-2.066 -2.127 7.236
ATOMIC_POSITIONS crystal
As 0.589 0.589 0.179
Ni 0.157 0.657 0.314
Sr 0.010 0.010 0.021
Sr 0.743 0.243 0.487
```

---

(4)
DFT (PBEsol) results for crystalline SrNi2As at its relaxed geometry. Values from VASP.

The structure in Quantum ESPRESSO input format:
```
&SYSTEM
  ibrav = 0, nat = 4, ntyp = 3
/
ATOMIC_SPECIES
As 74.92 As.upf
Ni 58.69 Ni.upf
Sr 87.62 Sr.upf
CELL_PARAMETERS angstrom
-2.929 0.743 -0.270
0.635 -4.342 -2.765
0.767 -0.980 5.036
ATOMIC_POSITIONS crystal
As 0.500 0.500 0.500
Ni 0.000 0.500 0.000
Ni 0.000 0.000 0.500
Sr 0.500 0.000 0.000
```

---

(5)
DFT (PBEsol) results for crystalline SrNiAs at its relaxed geometry. Values from VASP.

The structure in Quantum ESPRESSO input format:
```
&SYSTEM
  ibrav = 0, nat = 3, ntyp = 3
/
ATOMIC_SPECIES
Sr 87.62 Sr.upf
As 74.92 As.upf
Ni 58.69 Ni.upf
CELL_PARAMETERS angstrom
-2.652 -0.680 -2.968
1.146 -3.026 2.417
-3.352 0.949 2.777
ATOMIC_POSITIONS crystal
Sr 0.667 0.333 0.500
As 0.000 0.000 0.000
Ni 0.333 0.667 0.000
```

---

(6)
DFT (PBEsol) results for crystalline Ta2NiAs at its relaxed geometry. Values from VASP.

The structure in Quantum ESPRESSO input format:
```
&SYSTEM
  ibrav = 0, nat = 4, ntyp = 3
/
ATOMIC_SPECIES
As 74.92 As.upf
Ni 58.69 Ni.upf
Ta 180.95 Ta.upf
CELL_PARAMETERS angstrom
-2.197 1.809 2.206
-2.570 0.480 -2.953
-1.905 -3.618 1.070
ATOMIC_POSITIONS crystal
As 0.500 0.500 0.000
Ni 0.000 0.500 0.500
Ta 0.000 0.000 0.000
Ta 0.500 0.000 0.500
```

---

(7)
DFT (PBEsol) results for crystalline Ta2NiAs at its relaxed geometry. Values from VASP.

The structure in Quantum ESPRESSO input format:
```
&SYSTEM
  ibrav = 0, nat = 4, ntyp = 3
/
ATOMIC_SPECIES
As 74.92 As.upf
Ni 58.69 Ni.upf
Ta 180.95 Ta.upf
CELL_PARAMETERS angstrom
-1.909 -1.231 -3.803
-4.095 -1.690 0.022
-3.374 2.350 -1.647
ATOMIC_POSITIONS crystal
As 0.500 0.500 0.500
Ni 0.250 0.250 0.250
Ta 0.000 0.000 0.000
Ta 0.750 0.750 0.750
```

---

(8)
DFT (PBEsol) results for crystalline TaNiAs at its relaxed geometry. Values from VASP.

The structure in Quantum ESPRESSO input format:
```
&SYSTEM
  ibrav = 0, nat = 3, ntyp = 3
/
ATOMIC_SPECIES
As 74.92 As.upf
Ni 58.69 Ni.upf
Ta 180.95 Ta.upf
CELL_PARAMETERS angstrom
-3.271 -0.202 -0.790
0.897 -1.806 -3.251
-0.646 -2.010 3.190
ATOMIC_POSITIONS crystal
As 0.000 0.000 0.000
Ni 0.000 0.333 0.667
Ta 0.500 0.667 0.333
```

---

no.,VASP energy (Ry per atom),energy of formation (meV/atom)
1,-0.2862,-158
2,-0.2753,-9
3,-0.3089,-466
4,-0.3319,300
5,-0.3791,-790
6,-0.6789,-145
7,-0.6469,290
8,-0.6104,-366